First-principles (PBE-GGA) data for a relaxed GaPtS2Cl crystal, as listed in Alexandria.

Cell: 4.7192 4.7192 5.1080 Å, 90.00 90.00 90.00°
Last column: nearest neighbours and their distance in Å.
Positions (direct):
1 Ga 0.5000 0.5000 0.5000  4 Cl 3.34, 8 S 3.48
2 S 0.0000 0.5000 0.0000  2 Pt 2.36
3 S 0.5000 0.0000 0.0000  2 Pt 2.36
4 Pt 0.0000 0.0000 0.0000  4 S 2.36, 2 Cl 2.55
5 Cl 0.0000 0.0000 0.5000  2 Pt 2.55

Computed properties:
The space-group type is P4/mmm, No. 123. Its uncorrected formation energy is 0.14 eV/atom. Its spin magnetization is 1.2 μB/cell. The value obtained for the density is 5.32 g/cm3. As for the offset from the most stable computed form: 0.0 meV/atom. For the density of states at the Fermi level, the calculation gives 4.4 states/eV/f.u.